VASP calculation (GGA-PBE) on crystalline AcCeInAg at its relaxed geometry.

Properties
- Volume: 30.6 Å³ per atom
- DOS(E_F): 11.65 states/eV/f.u.
- M_tot: 1.43 μB per formula unit
- Energy relative to the elements: -220.3 meV/atom

Unit cell a=5.5710 b=5.5710 c=5.5710 alpha=60.00 beta=60.00 gamma=60.00
Positions (direct):
Ac 0.0000 0.0000 0.0000
Ce 0.5000 0.5000 0.5000
In 0.2500 0.2500 0.2500
Ag 0.7500 0.7500 0.7500